# 1
{"formula": "Tb2SbSe", "functional": "GGA-PBE", "state": "optimized geometry", "total_magnetization_mub_per_cell": 0.00, "final_energy_ev_per_atom": -5.6819, "volume_a3_per_atom": 27.24, "n_ef_per_ev_cell": 1.9, "de_polymorph_kj_per_mol_atoms": 0.1, "space_group": "R-3m (166)", "lattice": [[-2.318, -0.199, 3.571], [2.877, -3.029, -0.843], [5.417, 4.808, 1.248]], "species": ["Sb", "Tb", "Se", "Tb"], "frac_coords": [[0.000, 0.500, 0.500], [0.492, 0.746, 0.238], [0.000, 0.000, 0.000], [0.508, 0.254, 0.762]]}


# 2
{"formula": "Ba3CePa2As6", "functional": "GGA-PBE", "state": "optimized geometry", "total_magnetization_mub_per_cell": 1.37, "final_energy_ev_per_atom": -6.0548, "volume_a3_per_atom": 30.66, "n_ef_per_ev_cell": 12.2, "space_group": "C2/m (12)", "delta_e_f_ev_per_atom": -1.17, "lattice": [[7.539, -0.001, 0.001], [-3.768, 6.529, 0.001], [-1.257, -2.177, 7.474]], "species": ["As", "As", "Ba", "As", "As", "Pa", "Pa", "Ce", "As", "As", "Ba", "Ba"], "frac_coords": [[0.722, 0.722, 0.202], [0.278, 0.278, 0.798], [0.164, 0.836, 0.500], [0.068, 0.413, 0.204], [0.932, 0.587, 0.796], [0.667, 0.333, 0.000], [0.333, 0.667, 0.000], [0.000, 0.000, 0.000], [0.587, 0.932, 0.796], [0.413, 0.068, 0.204], [0.836, 0.164, 0.500], [0.500, 0.500, 0.500]]}


# 3
{"formula": "AsRuPb2", "functional": "GGA-PBE", "state": "optimized geometry", "total_magnetization_mub_per_cell": 0.00, "final_energy_ev_per_atom": -5.3519, "volume_a3_per_atom": 25.78, "n_ef_per_ev_cell": 1.9, "space_group": "R3m (160)", "delta_e_f_ev_per_atom": -0.02, "lattice": [[-2.865, -1.683, 2.486], [-2.402, -3.083, -1.394], [2.883, -6.208, 2.585]], "species": ["Ru", "Pb", "As", "Pb"], "frac_coords": [[0.458, 0.458, 0.626], [0.029, 0.029, 0.915], [0.792, 0.792, 0.624], [0.222, 0.222, 0.334]]}


# 4
{"formula": "BaSr2Hg4", "functional": "GGA-PBE", "state": "optimized geometry", "total_magnetization_mub_per_cell": 0.00, "final_energy_ev_per_atom": -1.2941, "volume_a3_per_atom": 37.22, "n_ef_per_ev_cell": 8.5, "space_group": "I4/mmm (139)", "delta_e_f_ev_per_atom": -0.37, "lattice": [[6.586, 0.062, -2.280], [-3.265, 5.667, -2.409], [0.035, -0.062, 6.970]], "species": ["Sr", "Ba", "Hg", "Hg", "Sr", "Hg", "Hg"], "frac_coords": [[0.500, 0.500, 0.000], [0.000, 0.000, 0.000], [0.500, 0.000, 0.000], [0.500, 0.500, 0.500], [0.500, 0.000, 0.500], [0.000, 0.000, 0.500], [0.000, 0.500, 0.000]]}


# 5
{"formula": "K2RbNaLi", "functional": "GGA-PBE", "state": "optimized geometry", "total_magnetization_mub_per_cell": 0.00, "final_energy_ev_per_atom": -1.1596, "volume_a3_per_atom": 61.30, "n_ef_per_ev_cell": 2.6, "de_polymorph_kj_per_mol_atoms": 0.0, "space_group": "P4/mmm (123)", "delta_e_f_ev_per_atom": 0.12, "lattice": [[6.981, 0.000, 0.000], [0.000, 6.981, 0.000], [0.000, 0.000, 6.290]], "species": ["Na", "K", "Li", "Rb", "K"], "frac_coords": [[0.000, 0.000, 0.500], [0.000, 0.500, 0.000], [0.000, 0.000, 0.000], [0.500, 0.500, 0.500], [0.500, 0.000, 0.000]]}


# 6
{"formula": "NdTc2Ge2P", "functional": "GGA-PBE", "state": "optimized geometry", "total_magnetization_mub_per_cell": 0.00, "final_energy_ev_per_atom": -7.0758, "volume_a3_per_atom": 18.72, "n_ef_per_ev_cell": 5.4, "space_group": "P4/mmm (123)", "delta_e_f_ev_per_atom": -0.39, "lattice": [[-1.374, 0.495, 4.222], [3.539, -2.324, 1.424], [2.966, 4.767, 0.407]], "species": ["Tc", "Tc", "Ge", "Ge", "P", "Nd"], "frac_coords": [[0.500, 0.000, 0.000], [0.000, 0.500, 0.000], [0.500, 0.500, 0.724], [0.500, 0.500, 0.276], [0.000, 0.000, 0.000], [0.000, 0.000, 0.500]]}